Below is crystalline ScHO2 at its relaxed geometry, with properties calculated at the PBE level.

```
data_ScHO2
_chemical_formula_sum 'Sc4 H4 O8'
_cell_length_a 5.1240
_cell_length_b 5.1240
_cell_length_c 5.1240
_cell_angle_alpha 90.00
_cell_angle_beta 90.00
_cell_angle_gamma 90.00
_symmetry_space_group_name_H-M 'F m -3 m'
_symmetry_Int_Tables_number 225
_symmetry_space_group_name_Hall '-F 4 2 3'
loop_
_atom_site_label
_atom_site_fract_x
_atom_site_fract_y
_atom_site_fract_z
_atom_site_occupancy
Sc1 0.0000 0.0000 0.0000 1
H1 0.0000 0.0000 0.5000 1
O1 0.2500 0.2500 0.2500 1
```

Calculated values
As for the total magnetization: 0.0 μB per formula unit. The value obtained for the total energy is -6.390 eV/atom.

Below is crystalline Sc4HO5 at its relaxed geometry, with properties calculated at the PBE level.

```
data_Sc4HO5
_chemical_formula_sum 'Sc8 H2 O10'
_cell_length_a 3.1949
_cell_length_b 5.8264
_cell_length_c 12.5420
_cell_angle_alpha 90.00
_cell_angle_beta 90.00
_cell_angle_gamma 90.00
_symmetry_space_group_name_H-M 'I m m m'
_symmetry_Int_Tables_number 71
_symmetry_space_group_name_Hall '-I 2 2'
loop_
_atom_site_label
_atom_site_fract_x
_atom_site_fract_y
_atom_site_fract_z
_atom_site_occupancy
Sc1 0.0000 0.0000 0.2212 1
Sc2 0.0000 0.2350 0.5000 1
H1 0.0000 0.0000 0.0000 1
O1 0.0000 0.2760 0.3345 1
O2 0.0000 0.5000 0.0000 1
```

Calculated values
As for the total magnetization: 0.0 μB per formula unit. The value obtained for the total energy is -8.250 eV/atom.

Below is crystalline ScHO2 at its relaxed geometry, with properties calculated at the PBE level.

```
data_ScHO2
_chemical_formula_sum 'Sc4 H4 O8'
_cell_length_a 4.1628
_cell_length_b 4.1628
_cell_length_c 9.4626
_cell_angle_alpha 90.00
_cell_angle_beta 90.00
_cell_angle_gamma 90.00
_symmetry_space_group_name_H-M 'I -4 2 d'
_symmetry_Int_Tables_number 122
_symmetry_space_group_name_Hall 'I -4 2bw'
loop_
_atom_site_label
_atom_site_fract_x
_atom_site_fract_y
_atom_site_fract_z
_atom_site_occupancy
Sc1 0.0000 0.0000 0.0000 1
H1 0.0000 0.0000 0.5000 1
O1 0.2077 0.2500 0.6250 1
```

Calculated values
As for the total magnetization: 0.0 μB per formula unit. The value obtained for the total energy is -6.637 eV/atom.

Below is crystalline ScHO2 at its relaxed geometry, with properties calculated at the PBE level.

```
data_ScHO2
_chemical_formula_sum 'Sc2 H2 O4'
_cell_length_a 5.0685
_cell_length_b 3.2492
_cell_length_c 5.6447
_cell_angle_alpha 90.00
_cell_angle_beta 111.96
_cell_angle_gamma 90.00
_symmetry_space_group_name_H-M 'P 1 21/m 1'
_symmetry_Int_Tables_number 11
loop_
_symmetry_equiv_pos_as_xyz
'x,y,z'
'-x,-y,-z'
'-x,y+1/2,-z'
'x,-y+1/2,z'
loop_
_atom_site_label
_atom_site_fract_x
_atom_site_fract_y
_atom_site_fract_z
_atom_site_occupancy
Sc1 0.0094 0.2500 0.2387 1
H1 0.4408 0.2500 0.7293 1
O1 0.2135 0.7500 0.1568 1
O2 0.2246 0.2500 0.6564 1
```

Calculated values
As for the total magnetization: 0.0 μB per formula unit. The value obtained for the total energy is -7.494 eV/atom.

Below is crystalline Sc3HO3 at its relaxed geometry, with properties calculated at the PBE level.

```
data_Sc3HO3
_chemical_formula_sum 'Sc18 H6 O18'
_cell_length_a 6.4138
_cell_length_b 6.4138
_cell_length_c 13.3904
_cell_angle_alpha 90.00
_cell_angle_beta 90.00
_cell_angle_gamma 120.00
_symmetry_space_group_name_H-M 'R -3'
_symmetry_Int_Tables_number 148
_symmetry_space_group_name_Hall '-R 3'
loop_
_atom_site_label
_atom_site_fract_x
_atom_site_fract_y
_atom_site_fract_z
_atom_site_occupancy
Sc1 0.0104 0.6993 0.4156 1
H1 0.0000 0.0000 0.3464 1
O1 0.0144 0.7026 0.9143 1
```

Calculated values
As for the total magnetization: 0.0 μB per formula unit. The value obtained for the total energy is -7.895 eV/atom.

Below is crystalline Sc2HO3 at its relaxed geometry, with properties calculated at the PBE level.

```
data_Sc2HO3
_chemical_formula_sum 'Sc8 H4 O12'
_cell_length_a 10.3013
_cell_length_b 4.2364
_cell_length_c 6.4902
_cell_angle_alpha 90.00
_cell_angle_beta 108.29
_cell_angle_gamma 90.00
_symmetry_space_group_name_H-M 'C 1 2/c 1'
_symmetry_Int_Tables_number 15
loop_
_symmetry_equiv_pos_as_xyz
'x,y,z'
'-x,-y,-z'
'-x,y,-z+1/2'
'x,-y,z+1/2'
'x+1/2,y+1/2,z'
'-x+1/2,-y+1/2,-z'
'-x+1/2,y+1/2,-z+1/2'
'x+1/2,-y+1/2,z+1/2'
loop_
_atom_site_label
_atom_site_fract_x
_atom_site_fract_y
_atom_site_fract_z
_atom_site_occupancy
Sc1 0.1696 0.0007 0.0846 1
H1 0.0000 0.3051 0.2500 1
O1 0.0000 0.0721 0.2500 1
O2 0.1873 0.4988 0.5946 1
```

Calculated values
As for the total magnetization: 0.0 μB per formula unit. The value obtained for the total energy is -7.755 eV/atom.

Below is crystalline ScH2O at its relaxed geometry, with properties calculated at the PBE level.

```
data_ScH2O
_chemical_formula_sum 'Sc4 H8 O4'
_cell_length_a 2.9794
_cell_length_b 2.9794
_cell_length_c 16.6598
_cell_angle_alpha 90.00
_cell_angle_beta 90.00
_cell_angle_gamma 90.00
_symmetry_space_group_name_H-M 'I 41/a m d'
_symmetry_Int_Tables_number 141
loop_
_symmetry_equiv_pos_as_xyz
'x,y,z'
'-x,-y,-z'
'-y+1/4,x+3/4,z+1/4'
'y+1/4,-x+3/4,-z+1/4'
'-x+1/2,-y,z+1/2'
'x+1/2,y,-z+1/2'
'y+1/4,-x+1/4,z+3/4'
'-y+1/4,x+1/4,-z+3/4'
'x,-y,-z'
'-x,y,z'
'-y+1/4,-x+1/4,-z+3/4'
'y+1/4,x+1/4,z+3/4'
'-x+1/2,y,-z+1/2'
'x+1/2,-y,z+1/2'
'y+1/4,x+3/4,-z+1/4'
'-y+1/4,-x+3/4,z+1/4'
'x+1/2,y+1/2,z+1/2'
'-x+1/2,-y+1/2,-z+1/2'
'-y+3/4,x+1/4,z+3/4'
'y+3/4,-x+1/4,-z+3/4'
'-x,-y+1/2,z'
'x,y+1/2,-z'
'y+3/4,-x+3/4,z+1/4'
'-y+3/4,x+3/4,-z+1/4'
'x+1/2,-y+1/2,-z+1/2'
'-x+1/2,y+1/2,z+1/2'
'-y+3/4,-x+3/4,-z+1/4'
'y+3/4,x+3/4,z+1/4'
'-x,y+1/2,-z'
'x,-y+1/2,z'
'y+3/4,x+1/4,-z+3/4'
'-y+3/4,-x+1/4,z+3/4'
loop_
_atom_site_label
_atom_site_fract_x
_atom_site_fract_y
_atom_site_fract_z
_atom_site_occupancy
Sc1 0.0000 0.2500 0.3750 1
H1 0.0000 0.0000 0.5000 1
O1 0.0000 0.2500 0.8750 1
```

Calculated values
As for the total magnetization: 0.0 μB per formula unit. The value obtained for the total energy is -5.699 eV/atom.

Below is crystalline Sc3HO at its relaxed geometry, with properties calculated at the PBE level.

```
data_Sc3HO
_chemical_formula_sum 'Sc24 H8 O8'
_cell_length_a 11.9194
_cell_length_b 9.7446
_cell_length_c 5.6770
_cell_angle_alpha 90.00
_cell_angle_beta 117.77
_cell_angle_gamma 90.00
_symmetry_space_group_name_H-M 'C 1 2/c 1'
_symmetry_Int_Tables_number 15
loop_
_symmetry_equiv_pos_as_xyz
'x,y,z'
'-x,-y,-z'
'-x,y,-z+1/2'
'x,-y,z+1/2'
'x+1/2,y+1/2,z'
'-x+1/2,-y+1/2,-z'
'-x+1/2,y+1/2,-z+1/2'
'x+1/2,-y+1/2,z+1/2'
loop_
_atom_site_label
_atom_site_fract_x
_atom_site_fract_y
_atom_site_fract_z
_atom_site_occupancy
Sc1 0.1186 0.2457 0.1982 1
Sc2 0.1226 0.0834 0.7048 1
Sc3 0.1286 0.4132 0.7225 1
H1 0.1846 0.4165 0.1115 1
O1 0.0000 0.0775 0.2500 1
O2 0.0000 0.2457 0.7500 1
```

Calculated values
As for the total magnetization: 0.0 μB per formula unit. The value obtained for the total energy is -6.845 eV/atom.